Ce2DyGa4 | GGA-PBE | relaxed

Structure (CIF):
```
data_Ce2DyGa4
_cell_length_a 9.861
_cell_length_b 9.861
_cell_length_c 9.861
_cell_angle_alpha 155.63
_cell_angle_beta 155.40
_cell_angle_gamma 34.90
_space_group_name_H-M_alt 'P 1'
_space_group_IT_number 1
loop_
_space_group_symop_operation_xyz
'x,y,z'
loop_
_atom_site_label
_atom_site_fract_x
_atom_site_fract_y
_atom_site_fract_z
_atom_site_occupancy
Ce1 0.189 0.189 0.000 1
Ce2 0.811 0.811 0.000 1
Dy1 0.000 0.500 0.500 1
Ga1 0.361 0.361 0.000 1
Ga2 0.435 0.935 0.500 1
Ga3 0.565 0.065 0.500 1
Ga4 0.639 0.639 0.000 1
```

Total magnetization   2.33 μB/f.u.
E   -4.618 eV/atom
Theoretical density   7.283 Mg/m³

=====

CeDyGa | GGA-PBE | relaxed

Structure (CIF):
```
data_CeDyGa
_cell_length_a 4.967
_cell_length_b 4.967
_cell_length_c 4.967
_cell_angle_alpha 60.00
_cell_angle_beta 60.00
_cell_angle_gamma 60.00
_space_group_name_H-M_alt 'P 1'
_space_group_IT_number 1
loop_
_space_group_symop_operation_xyz
'x,y,z'
loop_
_atom_site_label
_atom_site_fract_x
_atom_site_fract_y
_atom_site_fract_z
_atom_site_occupancy
Ce1 0.000 0.000 0.000 1
Dy1 0.500 0.500 0.500 1
Ga1 0.250 0.250 0.250 1
```

Total magnetization   0.75 μB/f.u.
E   -4.677 eV/atom
Theoretical density   7.136 Mg/m³
Polymorph energy (0 for the lowest one)   191 meV/atom

=====

CeDy2Ga | GGA-PBE | relaxed

Structure (CIF):
```
data_CeDy2Ga
_cell_length_a 3.487
_cell_length_b 3.487
_cell_length_c 8.747
_cell_angle_alpha 90.00
_cell_angle_beta 90.00
_cell_angle_gamma 90.00
_space_group_name_H-M_alt 'P 1'
_space_group_IT_number 1
loop_
_space_group_symop_operation_xyz
'x,y,z'
loop_
_atom_site_label
_atom_site_fract_x
_atom_site_fract_y
_atom_site_fract_z
_atom_site_occupancy
Ce1 0.000 0.000 0.000 1
Dy1 0.500 0.500 0.286 1
Dy2 0.500 0.500 0.714 1
Ga1 0.000 0.000 0.500 1
```

Total magnetization   0.63 μB/f.u.
E   -4.785 eV/atom
Theoretical density   8.349 Mg/m³
Polymorph energy (0 for the lowest one)   0 meV/atom

=====

CeDyGa | GGA-PBE | relaxed

Structure (CIF):
```
data_CeDyGa
_cell_length_a 4.373
_cell_length_b 4.373
_cell_length_c 11.065
_cell_angle_alpha 90.00
_cell_angle_beta 90.00
_cell_angle_gamma 120.00
_space_group_name_H-M_alt 'P 1'
_space_group_IT_number 1
loop_
_space_group_symop_operation_xyz
'x,y,z'
loop_
_atom_site_label
_atom_site_fract_x
_atom_site_fract_y
_atom_site_fract_z
_atom_site_occupancy
Ce1 0.000 0.000 0.123 1
Ce2 0.000 0.000 0.877 1
Dy1 0.333 0.667 0.391 1
Dy2 0.667 0.333 0.609 1
Ga1 0.333 0.667 0.727 1
Ga2 0.667 0.333 0.273 1
```

Total magnetization   0.72 μB/f.u.
E   -4.512 eV/atom
Theoretical density   6.749 Mg/m³
Polymorph energy (0 for the lowest one)   356 meV/atom

=====

CeDy2Ga | GGA-PBE | relaxed

Structure (CIF):
```
data_CeDy2Ga
_cell_length_a 6.208
_cell_length_b 6.208
_cell_length_c 6.208
_cell_angle_alpha 46.99
_cell_angle_beta 46.99
_cell_angle_gamma 46.99
_space_group_name_H-M_alt 'P 1'
_space_group_IT_number 1
loop_
_space_group_symop_operation_xyz
'x,y,z'
loop_
_atom_site_label
_atom_site_fract_x
_atom_site_fract_y
_atom_site_fract_z
_atom_site_occupancy
Ce1 0.000 0.000 0.000 1
Dy1 0.215 0.215 0.215 1
Dy2 0.441 0.441 0.441 1
Ga1 0.803 0.803 0.803 1
```

Total magnetization   1.27 μB/f.u.
E   -4.542 eV/atom
Theoretical density   7.597 Mg/m³
Polymorph energy (0 for the lowest one)   243 meV/atom

=====

CeDyGa3 | GGA-PBE | relaxed

Structure (CIF):
```
data_CeDyGa3
_cell_length_a 13.032
_cell_length_b 13.032
_cell_length_c 4.183
_cell_angle_alpha 90.00
_cell_angle_beta 90.00
_cell_angle_gamma 161.10
_space_group_name_H-M_alt 'P 1'
_space_group_IT_number 1
loop_
_space_group_symop_operation_xyz
'x,y,z'
loop_
_atom_site_label
_atom_site_fract_x
_atom_site_fract_y
_atom_site_fract_z
_atom_site_occupancy
Ce1 0.073 0.927 0.750 1
Ce2 0.927 0.073 0.250 1
Dy1 0.204 0.796 0.250 1
Dy2 0.796 0.204 0.750 1
Ga1 0.323 0.677 0.250 1
Ga2 0.380 0.620 0.750 1
Ga3 0.476 0.524 0.750 1
Ga4 0.524 0.476 0.250 1
Ga5 0.620 0.380 0.250 1
Ga6 0.677 0.323 0.750 1
```

Total magnetization   0.72 μB/f.u.
E   -4.531 eV/atom
Theoretical density   7.386 Mg/m³

=====

Ce4Dy3Ga4 | GGA-PBE | relaxed

Structure (CIF):
```
data_Ce4Dy3Ga4
_cell_length_a 10.392
_cell_length_b 10.392
_cell_length_c 10.392
_cell_angle_alpha 160.72
_cell_angle_beta 130.08
_cell_angle_gamma 54.00
_space_group_name_H-M_alt 'P 1'
_space_group_IT_number 1
loop_
_space_group_symop_operation_xyz
'x,y,z'
loop_
_atom_site_label
_atom_site_fract_x
_atom_site_fract_y
_atom_site_fract_z
_atom_site_occupancy
Ce1 0.005 0.165 0.840 1
Ce2 0.326 0.165 0.160 1
Ce3 0.674 0.835 0.840 1
Ce4 0.995 0.835 0.160 1
Dy1 0.000 0.500 0.500 1
Dy2 0.407 0.407 0.000 1
Dy3 0.593 0.593 0.000 1
Ga1 0.279 0.000 0.279 1
Ga2 0.280 0.780 0.500 1
Ga3 0.720 0.220 0.500 1
Ga4 0.721 0.000 0.721 1
```

Total magnetization   2.16 μB/f.u.
E   -4.894 eV/atom
Theoretical density   7.797 Mg/m³

=====

CeDyGa | GGA-PBE | relaxed

Structure (CIF):
```
data_CeDyGa
_cell_length_a 16.829
_cell_length_b 5.105
_cell_length_c 3.492
_cell_angle_alpha 90.00
_cell_angle_beta 90.00
_cell_angle_gamma 90.00
_space_group_name_H-M_alt 'P 1'
_space_group_IT_number 1
loop_
_space_group_symop_operation_xyz
'x,y,z'
loop_
_atom_site_label
_atom_site_fract_x
_atom_site_fract_y
_atom_site_fract_z
_atom_site_occupancy
Ce1 0.232 0.250 0.001 1
Ce2 0.268 0.750 0.501 1
Ce3 0.732 0.250 0.499 1
Ce4 0.768 0.750 0.999 1
Dy1 0.073 0.750 0.001 1
Dy2 0.427 0.250 0.501 1
Dy3 0.573 0.750 0.499 1
Dy4 0.927 0.250 0.999 1
Ga1 0.081 0.250 0.500 1
Ga2 0.419 0.750 0.000 1
Ga3 0.581 0.250 0.000 1
Ga4 0.919 0.750 0.500 1
```

Total magnetization   0.00 μB/f.u.
E   -4.868 eV/atom
Theoretical density   8.244 Mg/m³
Polymorph energy (0 for the lowest one)   0 meV/atom

=====

What ΔH_f (0 K) values result from the calculations? In sequence: -0.54; -0.16; -0.24; 0.01; 0.00; -0.61; -0.38; -0.35 eV per atom.